Density functional theory data (PBEsol) for a geometry-optimized Sr2CoSb structure.

abc: 9.109 9.109 9.109
angles: 24.96 24.96 24.96
Positions (direct):
Sr (0.240, 0.240, 0.240)
Sr (0.760, 0.760, 0.760)
Co (0.500, 0.500, 0.500)
Sb (0.000, 0.000, 0.000)

The uncorrected formation energy comes out at 4.18 kcal/mol of atoms. As for the space-group type: R-3m.

Density functional theory data (PBEsol) for a geometry-optimized SbAuSeN2 structure.

abc: 4.075 4.075 5.207
angles: 90.00 90.00 90.00
Positions (direct):
Sb (0.000, 0.000, 0.000)
Au (0.500, 0.500, 0.500)
Se (0.500, 0.500, 0.000)
N (0.000, 0.500, 0.500)
N (0.500, 0.000, 0.500)

The uncorrected formation energy comes out at 34.33 kcal/mol of atoms. As for the space-group type: P4/mmm.

Density functional theory data (PBEsol) for a geometry-optimized NiAu2 structure.

abc: 4.886 4.886 7.267
angles: 112.08 112.08 33.72
Positions (direct):
Ni (0.186, 0.186, 0.082)
Ni (0.814, 0.814, 0.918)
Au (0.164, 0.164, 0.593)
Au (0.496, 0.496, 0.787)
Au (0.504, 0.504, 0.213)
Au (0.836, 0.836, 0.407)

Its energy is -4.607 eV per atom. As for the space-group type: C2/m.

Density functional theory data (PBEsol) for a geometry-optimized CoAgMo2 structure.

abc: 4.682 4.682 4.682
angles: 131.01 131.01 71.79
Positions (direct):
Co (0.000, 0.000, 0.000)
Ag (0.250, 0.750, 0.500)
Mo (0.500, 0.500, 0.000)
Mo (0.750, 0.250, 0.500)

Its energy is -8.159 eV per atom. As for the space-group type: I-4m2.

Density functional theory data (PBEsol) for a geometry-optimized CaLa2PbF structure.

abc: 6.336 6.336 4.622
angles: 90.00 90.00 90.00
Positions (direct):
Ca (0.000, 0.000, 0.000)
La (0.000, 0.500, 0.500)
La (0.500, 0.000, 0.500)
Pb (0.500, 0.500, 0.500)
F (0.500, 0.500, 0.000)

The uncorrected formation energy comes out at -5.23 kcal/mol of atoms. As for the space-group type: P4/mmm.

Density functional theory data (PBEsol) for a geometry-optimized ZnAs2 structure.

abc: 5.639 5.639 5.639
angles: 148.32 142.48 49.89
Positions (direct):
Zn (0.000, 0.000, 0.000)
As (0.375, 0.375, 0.000)
As (0.625, 0.625, 0.000)

Its energy is -3.689 eV per atom. As for the space-group type: Immm.

Density functional theory data (PBEsol) for a geometry-optimized ScCo2W structure.

abc: 5.376 5.376 5.376
angles: 150.91 133.50 55.80
Positions (direct):
Sc (0.000, 0.000, 0.000)
Co (0.520, 0.520, 0.000)
Co (0.728, 0.228, 0.500)
W (0.288, 0.788, 0.500)

As for the space-group type: Imm2. For the energy above the most stable polymorph in this dataset, the calculation gives 65.2 meV/atom.

Density functional theory data (PBEsol) for a geometry-optimized MnFe2Cu structure.

abc: 2.394 2.394 7.965
angles: 90.00 90.00 108.10
Positions (direct):
Mn (0.000, 0.000, 0.000)
Fe (0.500, 0.500, 0.244)
Fe (0.500, 0.500, 0.756)
Cu (0.000, 0.000, 0.500)

Its energy is -7.832 eV per atom. As for the space-group type: Cmmm.

Density functional theory data (PBEsol) for a geometry-optimized BaTmO3 structure.

abc: 4.316 4.316 4.316
angles: 90.00 90.00 90.00
Positions (direct):
Ba (0.000, 0.000, 0.000)
Tm (0.500, 0.500, 0.500)
O (0.000, 0.500, 0.500)
O (0.500, 0.000, 0.500)
O (0.500, 0.500, 0.000)

The uncorrected formation energy comes out at -64.51 kcal/mol of atoms. As for the space-group type: Pm-3m.

Density functional theory data (PBEsol) for a geometry-optimized Li2Mn2P2O9 structure.

abc: 8.352 5.484 15.388
angles: 90.00 90.00 90.00
Positions (direct):
Li (0.087, 0.250, 0.220)
Li (0.167, 0.250, 0.860)
Li (0.333, 0.750, 0.360)
Li (0.413, 0.750, 0.720)
Li (0.587, 0.250, 0.280)
Li (0.667, 0.250, 0.640)
Li (0.833, 0.750, 0.140)
Li (0.913, 0.750, 0.780)
Mn (0.000, 0.000, 0.500)
Mn (0.000, 0.500, 0.500)
Mn (0.202, 0.250, 0.053)
Mn (0.298, 0.750, 0.553)
Mn (0.500, 0.000, 0.000)
Mn (0.500, 0.500, 0.000)
Mn (0.702, 0.250, 0.447)
Mn (0.798, 0.750, 0.947)
P (0.162, 0.750, 0.921)
P (0.214, 0.250, 0.657)
P (0.286, 0.750, 0.157)
P (0.338, 0.250, 0.421)
P (0.662, 0.750, 0.579)
P (0.714, 0.250, 0.843)
P (0.786, 0.750, 0.343)
P (0.838, 0.250, 0.079)
O (0.009, 0.750, 0.978)
O (0.075, 0.250, 0.583)
O (0.076, 0.750, 0.568)
O (0.130, 0.750, 0.824)
O (0.135, 0.250, 0.744)
O (0.183, 0.518, 0.140)
O (0.183, 0.982, 0.140)
O (0.242, 0.012, 0.447)
O (0.242, 0.488, 0.447)
O (0.258, 0.512, 0.947)
O (0.258, 0.988, 0.947)
O (0.317, 0.018, 0.640)
O (0.317, 0.482, 0.640)
O (0.365, 0.750, 0.244)
O (0.370, 0.250, 0.324)
O (0.424, 0.250, 0.068)
O (0.425, 0.750, 0.083)
O (0.491, 0.250, 0.478)
O (0.509, 0.750, 0.522)
O (0.575, 0.250, 0.917)
O (0.576, 0.750, 0.932)
O (0.630, 0.750, 0.676)
O (0.635, 0.250, 0.756)
O (0.683, 0.518, 0.360)
O (0.683, 0.982, 0.360)
O (0.742, 0.012, 0.053)
O (0.742, 0.488, 0.053)
O (0.758, 0.512, 0.553)
O (0.758, 0.988, 0.553)
O (0.817, 0.018, 0.860)
O (0.817, 0.482, 0.860)
O (0.865, 0.750, 0.256)
O (0.870, 0.250, 0.176)
O (0.924, 0.250, 0.432)
O (0.925, 0.750, 0.417)
O (0.991, 0.250, 0.022)

The uncorrected formation energy comes out at -46.49 kcal/mol of atoms. As for the space-group type: Pnma.

Density functional theory data (PBEsol) for a geometry-optimized FeP4O12 structure.

abc: 6.760 6.760 9.123
angles: 92.05 92.05 108.91
Positions (direct):
Fe (0.115, 0.885, 0.750)
Fe (0.885, 0.115, 0.250)
P (0.196, 0.269, 0.528)
P (0.269, 0.196, 0.028)
P (0.273, 0.628, 0.962)
P (0.372, 0.727, 0.538)
P (0.628, 0.273, 0.462)
P (0.727, 0.372, 0.038)
P (0.731, 0.804, 0.972)
P (0.804, 0.731, 0.472)
O (0.043, 0.287, 0.407)
O (0.110, 0.123, 0.648)
O (0.118, 0.648, 0.839)
O (0.123, 0.110, 0.148)
O (0.216, 0.377, 0.947)
O (0.274, 0.716, 0.110)
O (0.284, 0.726, 0.390)
O (0.287, 0.043, 0.907)
O (0.301, 0.495, 0.606)
O (0.352, 0.882, 0.661)
O (0.377, 0.216, 0.447)
O (0.495, 0.301, 0.106)
O (0.505, 0.699, 0.894)
O (0.623, 0.784, 0.553)
O (0.648, 0.118, 0.339)
O (0.699, 0.505, 0.394)
O (0.713, 0.957, 0.093)
O (0.716, 0.274, 0.610)
O (0.726, 0.284, 0.890)
O (0.784, 0.623, 0.053)
O (0.877, 0.890, 0.852)
O (0.882, 0.352, 0.161)
O (0.890, 0.877, 0.352)
O (0.957, 0.713, 0.593)

The uncorrected formation energy comes out at -42.18 kcal/mol of atoms. As for the space-group type: C2/c. For the energy above the most stable polymorph in this dataset, the calculation gives 22.3 meV/atom.

Density functional theory data (PBEsol) for a geometry-optimized RbTi3As structure.

abc: 4.901 4.901 4.901
angles: 90.00 90.00 90.00
Positions (direct):
Rb (0.000, 0.000, 0.000)
Ti (0.000, 0.500, 0.500)
Ti (0.500, 0.000, 0.500)
Ti (0.500, 0.500, 0.000)
As (0.500, 0.500, 0.500)

Its energy is -5.548 eV per atom. As for the space-group type: Pm-3m.

Density functional theory data (PBEsol) for a geometry-optimized Rb3TlCl structure.

abc: 6.259 6.259 6.259
angles: 90.00 90.00 90.00
Positions (direct):
Rb (0.000, 0.000, 0.500)
Rb (0.000, 0.500, 0.000)
Rb (0.500, 0.000, 0.000)
Tl (0.500, 0.500, 0.500)
Cl (0.000, 0.000, 0.000)

The uncorrected formation energy comes out at -14.93 kcal/mol of atoms. As for the space-group type: Pm-3m.

Density functional theory data (PBEsol) for a geometry-optimized NdIn5Co structure.

abc: 4.532 4.532 7.473
angles: 90.00 90.00 90.00
Positions (direct):
Nd (0.000, 0.000, 0.000)
In (0.000, 0.500, 0.310)
In (0.000, 0.500, 0.690)
In (0.500, 0.000, 0.310)
In (0.500, 0.000, 0.690)
In (0.500, 0.500, 0.000)
Co (0.000, 0.000, 0.500)

Its energy is -4.306 eV per atom. As for the space-group type: P4/mmm.

Density functional theory data (PBEsol) for a geometry-optimized Ce2MgS4 structure.

abc: 7.185 7.185 7.185
angles: 111.19 111.19 106.08
Positions (direct):
Ce (0.375, 0.002, 0.127)
Ce (0.752, 0.625, 0.627)
Ce (0.875, 0.248, 0.873)
Ce (0.998, 0.125, 0.373)
Mg (0.250, 0.750, 0.500)
Mg (0.500, 0.500, 0.000)
S (0.125, 0.005, 0.735)
S (0.140, 0.521, 0.765)
S (0.271, 0.390, 0.265)
S (0.479, 0.245, 0.620)
S (0.610, 0.875, 0.880)
S (0.625, 0.860, 0.380)
S (0.755, 0.375, 0.235)
S (0.995, 0.729, 0.120)

The uncorrected formation energy comes out at -40.94 kcal/mol of atoms. As for the space-group type: I-42d.

Density functional theory data (PBEsol) for a geometry-optimized TlPbSe2 structure.

abc: 4.247 4.247 6.054
angles: 90.00 90.00 90.00
Positions (direct):
Tl (0.000, 0.000, 0.000)
Pb (0.500, 0.500, 0.500)
Se (0.000, 0.000, 0.500)
Se (0.500, 0.500, 0.000)

The uncorrected formation energy comes out at -8.75 kcal/mol of atoms. As for the space-group type: P4/mmm.

Density functional theory data (PBEsol) for a geometry-optimized KAgF2 structure.

abc: 7.168 7.168 7.168
angles: 30.47 30.47 30.47
Positions (direct):
K (0.000, 0.000, 0.000)
Ag (0.500, 0.500, 0.500)
F (0.401, 0.401, 0.401)
F (0.599, 0.599, 0.599)

The uncorrected formation energy comes out at -41.43 kcal/mol of atoms. As for the space-group type: R-3m. For the energy above the most stable polymorph in this dataset, the calculation gives 0.0 meV/atom.

Density functional theory data (PBEsol) for a geometry-optimized IrRuN2O structure.

abc: 3.830 3.830 3.703
angles: 90.00 90.00 90.00
Positions (direct):
Ir (0.000, 0.000, 0.000)
Ru (0.500, 0.500, 0.500)
N (0.000, 0.500, 0.500)
N (0.500, 0.000, 0.500)
O (0.500, 0.500, 0.000)

The uncorrected formation energy comes out at 28.55 kcal/mol of atoms. As for the space-group type: P4/mmm.

Density functional theory data (PBEsol) for a geometry-optimized TiAu structure.

abc: 2.891 2.891 4.557
angles: 90.00 90.00 120.00
Positions (direct):
Ti (0.000, 0.000, 0.000)
Au (0.667, 0.333, 0.500)

Its energy is -6.297 eV per atom. As for the space-group type: P-6m2.

Density functional theory data (PBEsol) for a geometry-optimized BiPd2Pb structure.

abc: 4.861 4.861 4.861
angles: 60.00 60.00 60.00
Positions (direct):
Bi (0.000, 0.000, 0.000)
Pd (0.250, 0.250, 0.250)
Pd (0.750, 0.750, 0.750)
Pb (0.500, 0.500, 0.500)

Its energy is -5.239 eV per atom. As for the space-group type: Fm-3m.

Density functional theory data (PBEsol) for a geometry-optimized Cd2CuAg structure.

abc: 5.058 5.058 5.058
angles: 133.27 133.27 68.23
Positions (direct):
Cd (0.000, 0.000, 0.000)
Cd (0.750, 0.250, 0.500)
Cu (0.500, 0.500, 0.000)
Ag (0.250, 0.750, 0.500)

Its energy is -2.485 eV per atom. As for the space-group type: I-4m2.

Density functional theory data (PBEsol) for a geometry-optimized LaScFe structure.

abc: 4.501 4.501 4.501
angles: 60.00 60.00 60.00
Positions (direct):
La (0.000, 0.000, 0.000)
Sc (0.250, 0.250, 0.250)
Fe (0.500, 0.500, 0.500)

As for the space-group type: F-43m. For the energy above the most stable polymorph in this dataset, the calculation gives 695.6 meV/atom.

Density functional theory data (PBEsol) for a geometry-optimized MnTc3Os structure.

abc: 4.614 4.614 4.614
angles: 90.00 90.00 90.00
Positions (direct):
Mn (0.000, 0.000, 0.000)
Tc (0.000, 0.500, 0.500)
Tc (0.500, 0.000, 0.500)
Tc (0.500, 0.500, 0.000)
Os (0.500, 0.500, 0.500)

Its energy is -9.206 eV per atom. As for the space-group type: Pm-3m.

Density functional theory data (PBEsol) for a geometry-optimized RbTeS2Cl structure.

abc: 5.701 5.701 5.551
angles: 90.00 90.00 90.00
Positions (direct):
Rb (0.000, 0.000, 0.000)
Te (0.500, 0.500, 0.500)
S (0.000, 0.500, 0.000)
S (0.500, 0.000, 0.000)
Cl (0.000, 0.000, 0.500)

The uncorrected formation energy comes out at 23.16 kcal/mol of atoms. As for the space-group type: P4/mmm.